Entry 1:
# ZnAg2Pb, single point on PBEsol structure, DFT SCAN
# DFT formation energy = 0.17 eV/atom
# Distance to the lowest polymorph of the same formula = 79 meV/atom
data_ZnAg2Pb
_chemical_formula_sum 'Zn2 Ag4 Pb2'
_space_group_name_H-M_alt 'P 1'
_space_group_IT_number 1
_space_group_name_Hall 'P 1'
_cell_length_a 4.1914
_cell_length_b 4.1914
_cell_length_c 8.5727
_cell_angle_alpha 90.00
_cell_angle_beta 90.00
_cell_angle_gamma 90.00
loop_
_atom_site_label
_atom_site_fract_x
_atom_site_fract_y
_atom_site_fract_z
Zn1 0.0000 0.0000 0.0000
Zn2 0.5000 0.5000 0.5000
Ag1 0.0000 0.0000 0.5000
Ag2 0.0000 0.5000 0.2500
Ag3 0.5000 0.0000 0.7500
Ag4 0.5000 0.5000 0.0000
Pb1 0.0000 0.5000 0.7500
Pb2 0.5000 0.0000 0.2500

Entry 2:
# ZnAgPb, single point on PBEsol structure, DFT SCAN
# DFT formation energy = 0.19 eV/atom
data_ZnAgPb
_chemical_formula_sum 'Zn1 Ag1 Pb1'
_space_group_name_H-M_alt 'P 1'
_space_group_IT_number 1
_space_group_name_Hall 'P 1'
_cell_length_a 4.5261
_cell_length_b 4.5261
_cell_length_c 3.5482
_cell_angle_alpha 90.00
_cell_angle_beta 90.00
_cell_angle_gamma 120.00
loop_
_atom_site_label
_atom_site_fract_x
_atom_site_fract_y
_atom_site_fract_z
Zn1 0.0000 0.0000 0.0000
Ag1 0.6667 0.3333 0.0000
Pb1 0.3333 0.6667 0.5000

Entry 3:
# ZrAgPb2, single point on PBEsol structure, DFT SCAN
# DFT formation energy = -0.13 eV/atom
data_ZrAgPb2
_chemical_formula_sum 'Zr2 Ag2 Pb4'
_space_group_name_H-M_alt 'P 1'
_space_group_IT_number 1
_space_group_name_Hall 'P 1'
_cell_length_a 11.2301
_cell_length_b 3.2629
_cell_length_c 5.2656
_cell_angle_alpha 90.00
_cell_angle_beta 110.52
_cell_angle_gamma 90.00
loop_
_atom_site_label
_atom_site_fract_x
_atom_site_fract_y
_atom_site_fract_z
Zr1 0.0000 0.0000 0.0000
Zr2 0.5000 0.5000 0.0000
Ag1 0.2707 0.0000 0.6213
Ag2 0.7707 0.5000 0.6213
Pb1 0.0164 0.5000 0.5040
Pb2 0.2498 0.5000 0.1053
Pb3 0.5164 0.0000 0.5040
Pb4 0.7498 0.0000 0.1053

Entry 4:
# AgPdPt2, single point on PBEsol structure, DFT SCAN
# DFT formation energy = 0.18 eV/atom
data_AgPdPt2
_chemical_formula_sum 'Ag4 Pd4 Pt8'
_space_group_name_H-M_alt 'P 1'
_space_group_IT_number 1
_space_group_name_Hall 'P 1'
_cell_length_a 6.2487
_cell_length_b 6.2487
_cell_length_c 6.2487
_cell_angle_alpha 90.00
_cell_angle_beta 90.00
_cell_angle_gamma 90.00
loop_
_atom_site_label
_atom_site_fract_x
_atom_site_fract_y
_atom_site_fract_z
Ag1 0.0000 0.0000 0.0000
Ag2 0.0000 0.5000 0.5000
Ag3 0.5000 0.0000 0.5000
Ag4 0.5000 0.5000 0.0000
Pd1 0.0000 0.0000 0.5000
Pd2 0.0000 0.5000 0.0000
Pd3 0.5000 0.0000 0.0000
Pd4 0.5000 0.5000 0.5000
Pt1 0.2500 0.2500 0.2500
Pt2 0.2500 0.2500 0.7500
Pt3 0.2500 0.7500 0.2500
Pt4 0.2500 0.7500 0.7500
Pt5 0.7500 0.2500 0.2500
Pt6 0.7500 0.2500 0.7500
Pt7 0.7500 0.7500 0.2500
Pt8 0.7500 0.7500 0.7500

Entry 5:
# Rb3AgPd, single point on PBEsol structure, DFT SCAN
# DFT formation energy = 0.43 eV/atom
data_Rb3AgPd
_chemical_formula_sum 'Rb3 Ag1 Pd1'
_space_group_name_H-M_alt 'P 1'
_space_group_IT_number 1
_space_group_name_Hall 'P 1'
_cell_length_a 6.2978
_cell_length_b 6.2978
_cell_length_c 6.2978
_cell_angle_alpha 90.00
_cell_angle_beta 90.00
_cell_angle_gamma 90.00
loop_
_atom_site_label
_atom_site_fract_x
_atom_site_fract_y
_atom_site_fract_z
Rb1 0.0000 0.0000 0.5000
Rb2 0.0000 0.5000 0.0000
Rb3 0.5000 0.0000 0.0000
Ag1 0.0000 0.0000 0.0000
Pd1 0.5000 0.5000 0.5000

Entry 6:
# AgPdSe2, single point on PBEsol structure, DFT SCAN
# E_form (uncorrected) = -0.135 eV/atom
data_AgPdSe2
_chemical_formula_sum 'Ag3 Pd3 Se6'
_space_group_name_H-M_alt 'P 1'
_space_group_IT_number 1
_space_group_name_Hall 'P 1'
_cell_length_a 3.7110
_cell_length_b 3.7110
_cell_length_c 22.6252
_cell_angle_alpha 90.00
_cell_angle_beta 90.00
_cell_angle_gamma 120.00
loop_
_atom_site_label
_atom_site_fract_x
_atom_site_fract_y
_atom_site_fract_z
Ag1 0.0000 0.0000 0.0000
Ag2 0.3333 0.6667 0.6667
Ag3 0.6667 0.3333 0.3333
Pd1 0.0000 0.0000 0.5000
Pd2 0.3333 0.6667 0.1667
Pd3 0.6667 0.3333 0.8333
Se1 0.0000 0.0000 0.1088
Se2 0.0000 0.0000 0.8912
Se3 0.3333 0.6667 0.5579
Se4 0.3333 0.6667 0.7755
Se5 0.6667 0.3333 0.2245
Se6 0.6667 0.3333 0.4421